Record 1
Computed, not measured: crystalline NaSmSeO at its relaxed geometry at the PBE level of DFT.

a = 4.489 Å, b = 7.521 Å, c = 6.340 Å
α = 90.00°, β = 90.00°, γ = 90.00°
Positions (direct):
Na  0.000  0.291  0.115
Na  0.000  0.709  0.615
O  0.500  0.120  0.187
O  0.500  0.880  0.687
Se  0.000  0.674  0.159
Se  0.000  0.326  0.659
Sm  0.500  0.864  0.029
Sm  0.500  0.136  0.529

The space group is Pmc2_1. The value obtained for the relative energy among the computed polymorphs is 0.87 eV/f.u. The magnetization is 0.001 μB per formula unit. The uncorrected energy comes out at -45.12 eV/cell.

Record 2
Computed, not measured: crystalline NaTbSeO at its relaxed geometry at the PBE level of DFT.

a = 4.012 Å, b = 4.012 Å, c = 9.517 Å
α = 90.00°, β = 90.00°, γ = 90.00°
Positions (direct):
Na  0.750  0.250  0.500
Na  0.250  0.750  0.500
O  0.750  0.250  0.000
O  0.250  0.750  0.000
Se  0.750  0.750  0.293
Se  0.250  0.250  0.707
Tb  0.250  0.250  0.112
Tb  0.750  0.750  0.888

The space group is P4/nmm. The value obtained for the relative energy among the computed polymorphs is 0.26 eV/f.u. The magnetization is 0.001 μB per formula unit. The uncorrected energy comes out at -46.52 eV/cell.

Record 3
Computed, not measured: crystalline NaTbSeO at its relaxed geometry at the PBE level of DFT.

a = 7.029 Å, b = 7.408 Å, c = 6.402 Å
α = 90.00°, β = 102.95°, γ = 90.00°
Positions (direct):
Na  0.901  0.264  0.004
Na  0.099  0.764  0.496
Na  0.901  0.236  0.504
Na  0.099  0.736  0.996
O  0.603  0.345  0.114
O  0.397  0.845  0.386
O  0.603  0.155  0.614
O  0.397  0.655  0.886
Se  0.794  0.922  0.168
Se  0.206  0.422  0.332
Se  0.794  0.578  0.668
Se  0.206  0.078  0.832
Tb  0.543  0.624  0.231
Tb  0.457  0.124  0.269
Tb  0.543  0.876  0.731
Tb  0.457  0.376  0.769

The space group is P2_1/c. The value obtained for the relative energy among the computed polymorphs is 0.14 eV/f.u. The magnetization is 0.003 μB per formula unit. The uncorrected energy comes out at -93.52 eV/cell.

Record 4
Computed, not measured: crystalline NaTbSeO at its relaxed geometry at the PBE level of DFT.

a = 5.664 Å, b = 5.664 Å, c = 10.844 Å
α = 90.00°, β = 105.78°, γ = 90.00°
Positions (direct):
Na  0.447  0.624  0.403
Na  0.945  0.116  0.403
Na  0.055  0.616  0.597
Na  0.553  0.124  0.597
O  0.250  0.103  0.000
O  0.250  0.603  0.001
O  0.750  0.103  0.999
O  0.750  0.603  0.000
Se  0.898  0.622  0.314
Se  0.398  0.124  0.314
Se  0.602  0.624  0.686
Se  0.102  0.122  0.686
Tb  0.052  0.854  0.103
Tb  0.552  0.354  0.103
Tb  0.448  0.854  0.897
Tb  0.948  0.354  0.897

The space group is P2_1. The value obtained for the relative energy among the computed polymorphs is 0.00 eV/f.u. The magnetization is 0.001 μB per formula unit. The uncorrected energy comes out at -94.08 eV/cell.

Record 5
Computed, not measured: crystalline NaTbSeO at its relaxed geometry at the PBE level of DFT.

a = 4.381 Å, b = 7.513 Å, c = 6.245 Å
α = 90.00°, β = 90.00°, γ = 90.00°
Positions (direct):
Na  0.000  0.290  0.118
Na  0.000  0.710  0.618
O  0.500  0.119  0.188
O  0.500  0.881  0.688
Se  0.000  0.675  0.156
Se  0.000  0.325  0.656
Tb  0.500  0.868  0.029
Tb  0.500  0.132  0.529

The space group is Pmc2_1. The value obtained for the relative energy among the computed polymorphs is 0.83 eV/f.u. The magnetization is 0.001 μB per formula unit. The uncorrected energy comes out at -45.38 eV/cell.

Record 6
Computed, not measured: crystalline NaTmSe2O8 at its relaxed geometry at the PBE level of DFT.

a = 6.618 Å, b = 6.618 Å, c = 6.618 Å
α = 135.59°, β = 135.59°, γ = 64.61°
Positions (direct):
Na  0.000  0.000  0.000
O  0.026  0.427  0.106
O  0.664  0.284  0.111
O  0.716  0.828  0.380
O  0.080  0.974  0.400
O  0.573  0.679  0.600
O  0.448  0.336  0.620
O  0.172  0.552  0.889
O  0.321  0.920  0.894
Se  0.500  0.500  0.000
Se  0.250  0.750  0.500
Tm  0.750  0.250  0.500

The space group is I-4. The magnetization is 0.002 μB per formula unit. The uncorrected energy comes out at -70.09 eV/cell.